Record 1
DFT (PBE) results for LaBe3In after structural relaxation.

E above lowest polymorph = 0 meV per atom
space-group type = Pm-3m (221)

Lattice parameters (Å, degrees): 4.591 4.591 4.591 90.00 90.00 90.00
Element x y z (fractional)
Be  0.000  0.500  0.000
Be  0.000  0.000  0.500
Be  0.500  0.000  0.000
In  0.000  0.000  0.000
La  0.500  0.500  0.500

---

Record 2
DFT (PBE) results for La2BeIn after structural relaxation.

E above lowest polymorph = 44 meV per atom
space-group type = Cm (8)

Lattice parameters (Å, degrees): 8.494 4.745 10.945 90.00 108.06 90.00
Element x y z (fractional)
Be  0.009  0.000  0.911
Be  0.009  0.500  0.411
Be  0.199  0.000  0.816
Be  0.199  0.500  0.316
In  0.525  0.000  0.993
In  0.525  0.500  0.493
In  0.811  0.000  0.449
In  0.811  0.500  0.949
La  0.680  0.000  0.725
La  0.680  0.500  0.225
La  0.391  0.000  0.266
La  0.391  0.500  0.766
La  0.223  0.000  0.513
La  0.223  0.500  0.013
La  0.966  0.000  0.178
La  0.966  0.500  0.678

---

Record 3
DFT (PBE) results for La2BeIn after structural relaxation.

E above lowest polymorph = 504 meV per atom
space-group type = F-43m (216)

Lattice parameters (Å, degrees): 5.261 5.261 5.261 60.00 60.00 60.00
Element x y z (fractional)
Be  0.500  0.500  0.500
In  0.750  0.750  0.750
La  0.000  0.000  0.000
La  0.250  0.250  0.250

---

Record 4
DFT (PBE) results for LaBe2In after structural relaxation.

space-group type = R3m (160)

Lattice parameters (Å, degrees): 4.000 4.000 6.315 71.53 71.53 60.03
Element x y z (fractional)
Be  0.053  0.053  0.841
Be  0.721  0.721  0.837
In  0.460  0.460  0.621
La  0.266  0.266  0.201

---

Number 1: calculated formation energy 610 meV per atom, size of the total moment 0.0 μB per cell. Number 2: calculated formation energy -144 meV per atom, size of the total moment 0.0 μB per cell. Number 3: calculated formation energy 315 meV per atom, size of the total moment 0.0 μB per cell. Number 4: calculated formation energy -28 meV per atom, size of the total moment 0.0 μB per cell.